Version one
Compound: Al5Ru3
Source: Alexandria
Functional: PBE-GGA
Structure: optimized geometry

a b c (Å): 7.3924 7.3924 5.0349
angles (deg): 90.00 90.00 120.00
Element x y z (fractional)
Al 0.0000 0.2534 0.2500
Al 0.0000 0.7466 0.7500
Al 0.2534 0.0000 0.2500
Al 0.2534 0.2534 0.7500
Al 0.3333 0.6667 0.0000
Al 0.3333 0.6667 0.5000
Al 0.6667 0.3333 0.0000
Al 0.6667 0.3333 0.5000
Al 0.7466 0.0000 0.7500
Al 0.7466 0.7466 0.2500
Ru 0.0000 0.3841 0.7500
Ru 0.0000 0.6159 0.2500
Ru 0.3841 0.0000 0.7500
Ru 0.3841 0.3841 0.2500
Ru 0.6159 0.0000 0.2500
Ru 0.6159 0.6159 0.7500


Version two
Compound: Al5Ru3
Source: Alexandria
Functional: PBE-GGA
Structure: optimized geometry

a b c (Å): 7.3127 7.3127 7.2897
angles (deg): 96.52 96.52 140.48
Element x y z (fractional)
Al 0.0992 0.0992 0.1973
Al 0.2406 0.5608 0.8025
Al 0.4001 0.2572 0.6594
Al 0.4199 0.0799 0.0000
Al 0.4392 0.7594 0.1975
Al 0.5972 0.0597 0.6589
Al 0.7428 0.5999 0.3406
Al 0.9008 0.9008 0.8027
Al 0.9201 0.5801 0.0000
Al 0.9403 0.4028 0.3411
Ru 0.3415 0.0017 0.3456
Ru 0.4211 0.5789 0.5000
Ru 0.4967 0.5033 0.0000
Ru 0.8432 0.1568 0.0000
Ru 0.9194 0.0806 0.5000
Ru 0.9983 0.6585 0.6544


Version three
Compound: Al5Ru3
Source: Alexandria
Functional: PBE-GGA
Structure: optimized geometry

a b c (Å): 7.0528 7.7311 4.1114
angles (deg): 90.00 90.00 90.00
Element x y z (fractional)
Al 0.0000 0.0000 0.0000
Al 0.2075 0.5000 0.5000
Al 0.2500 0.2500 0.0000
Al 0.2500 0.7500 0.0000
Al 0.2925 0.0000 0.5000
Al 0.5000 0.5000 0.0000
Al 0.7075 0.0000 0.5000
Al 0.7500 0.2500 0.0000
Al 0.7500 0.7500 0.0000
Al 0.7925 0.5000 0.5000
Ru 0.0000 0.2056 0.5000
Ru 0.0000 0.5000 0.0000
Ru 0.0000 0.7944 0.5000
Ru 0.5000 0.0000 0.0000
Ru 0.5000 0.2944 0.5000
Ru 0.5000 0.7056 0.5000


The winner here is version three, beating the second structure by 0.170 eV/atom.


Version one
Compound: Al3Ru5
Source: Alexandria
Functional: PBE-GGA
Structure: optimized geometry

a b c (Å): 7.1850 7.1850 7.1850
angles (deg): 96.60 96.60 140.35
Element x y z (fractional)
Al 0.1729 0.6729 0.8458
Al 0.2500 0.2500 0.0000
Al 0.3271 0.1729 0.5000
Al 0.6729 0.8271 0.5000
Al 0.7500 0.7500 0.0000
Al 0.8271 0.3271 0.1542
Ru 0.0727 0.2269 0.2996
Ru 0.2269 0.9273 0.1542
Ru 0.2500 0.7500 0.5000
Ru 0.2731 0.4273 0.7004
Ru 0.4273 0.7269 0.1542
Ru 0.5727 0.2731 0.8458
Ru 0.7269 0.5727 0.2996
Ru 0.7500 0.2500 0.5000
Ru 0.7731 0.0727 0.8458
Ru 0.9273 0.7731 0.7004


Version two
Compound: Al3Ru5
Source: Alexandria
Functional: PBE-GGA
Structure: optimized geometry

a b c (Å): 6.0514 8.5419 4.2876
angles (deg): 90.00 90.00 90.00
Element x y z (fractional)
Al 0.0000 0.0000 0.0000
Al 0.0000 0.2525 0.5000
Al 0.0000 0.7475 0.5000
Al 0.5000 0.2475 0.5000
Al 0.5000 0.5000 0.0000
Al 0.5000 0.7525 0.5000
Ru 0.0000 0.5000 0.0000
Ru 0.2470 0.0000 0.5000
Ru 0.2500 0.2500 0.0000
Ru 0.2500 0.7500 0.0000
Ru 0.2530 0.5000 0.5000
Ru 0.5000 0.0000 0.0000
Ru 0.7470 0.5000 0.5000
Ru 0.7500 0.2500 0.0000
Ru 0.7500 0.7500 0.0000
Ru 0.7530 0.0000 0.5000


The winner here is version two, beating the second structure by 0.084 eV/atom.


Version one
Compound: Al5Ru4
Source: Alexandria
Functional: PBE-GGA
Structure: optimized geometry

a b c (Å): 5.9680 5.9680 5.9680
angles (deg): 96.50 96.50 140.69
Element x y z (fractional)
Al 0.0000 0.0000 0.0000
Al 0.3278 0.3278 0.6555
Al 0.3278 0.6722 0.0000
Al 0.6722 0.3278 0.0000
Al 0.6722 0.6722 0.3445
Ru 0.0000 0.3224 0.3224
Ru 0.0000 0.6776 0.6776
Ru 0.3224 0.0000 0.3224
Ru 0.6776 0.0000 0.6776


Version two
Compound: Al5Ru4
Source: Alexandria
Functional: PBE-GGA
Structure: optimized geometry

a b c (Å): 7.4247 7.4247 5.3154
angles (deg): 90.00 90.00 120.00
Element x y z (fractional)
Al 0.0000 0.2939 0.2500
Al 0.0000 0.7061 0.7500
Al 0.2939 0.0000 0.2500
Al 0.2939 0.2939 0.7500
Al 0.3333 0.6667 0.0000
Al 0.3333 0.6667 0.5000
Al 0.6667 0.3333 0.0000
Al 0.6667 0.3333 0.5000
Al 0.7061 0.0000 0.7500
Al 0.7061 0.7061 0.2500
Ru 0.0000 0.0000 0.0000
Ru 0.0000 0.0000 0.5000
Ru 0.0000 0.3709 0.7500
Ru 0.0000 0.6291 0.2500
Ru 0.3709 0.0000 0.7500
Ru 0.3709 0.3709 0.2500
Ru 0.6291 0.0000 0.2500
Ru 0.6291 0.6291 0.7500


The winner here is version two, beating the second structure by 0.115 eV/atom.


Version one
Compound: AlSbRu
Source: Alexandria
Functional: PBE-GGA
Structure: optimized geometry

a b c (Å): 3.0828 3.0828 12.1539
angles (deg): 90.00 90.00 90.00
Element x y z (fractional)
Al 0.0000 0.0000 0.0000
Al 0.5000 0.5000 0.5000
Sb 0.0000 0.0000 0.2594
Sb 0.5000 0.5000 0.7594
Ru 0.0000 0.0000 0.6134
Ru 0.5000 0.5000 0.1134


Version two
Compound: AlSbRu
Source: Alexandria
Functional: PBE-GGA
Structure: optimized geometry

a b c (Å): 6.1356 6.1356 6.1356
angles (deg): 90.00 90.00 90.00
Element x y z (fractional)
Al 0.0000 0.0000 0.0000
Al 0.0000 0.5000 0.5000
Al 0.5000 0.0000 0.5000
Al 0.5000 0.5000 0.0000
Sb 0.0000 0.0000 0.5000
Sb 0.0000 0.5000 0.0000
Sb 0.5000 0.0000 0.0000
Sb 0.5000 0.5000 0.5000
Ru 0.2500 0.2500 0.2500
Ru 0.2500 0.7500 0.7500
Ru 0.7500 0.2500 0.7500
Ru 0.7500 0.7500 0.2500


The winner here is version two, beating the second structure by 0.076 eV/atom.


Version one
Compound: AlSbRu
Source: Alexandria
Functional: PBE-GGA
Structure: optimized geometry

a b c (Å): 3.2156 3.2156 6.1437
angles (deg): 90.00 90.00 120.00
Element x y z (fractional)
Al 0.0000 0.0000 0.0000
Sb 0.3333 0.6667 0.6001
Ru 0.6667 0.3333 0.2845


Version two
Compound: AlSbRu
Source: Alexandria
Functional: PBE-GGA
Structure: optimized geometry

a b c (Å): 4.3323 4.3323 3.3537
angles (deg): 90.00 90.00 120.00
Element x y z (fractional)
Al 0.0000 0.0000 0.0000
Sb 0.3333 0.6667 0.5000
Ru 0.6667 0.3333 0.0000


Version three
Compound: AlSbRu
Source: Alexandria
Functional: PBE-GGA
Structure: optimized geometry

a b c (Å): 3.3214 3.6248 8.5324
angles (deg): 90.00 90.00 90.00
Element x y z (fractional)
Al 0.0000 0.0000 0.0000
Al 0.5000 0.5000 0.5000
Sb 0.0000 0.0000 0.3160
Sb 0.5000 0.5000 0.8160
Ru 0.0000 0.0000 0.6435
Ru 0.5000 0.5000 0.1435


The winner here is version one, beating the second structure by 0.041 eV/atom.


Version one
Compound: AlSb3Ru
Source: Alexandria
Functional: PBE-GGA
Structure: optimized geometry

a b c (Å): 5.1468 5.1468 5.1468
angles (deg): 90.00 90.00 90.00
Element x y z (fractional)
Al 0.0000 0.0000 0.0000
Sb 0.0000 0.0000 0.5000
Sb 0.0000 0.5000 0.0000
Sb 0.5000 0.0000 0.0000
Ru 0.5000 0.5000 0.5000


Version two
Compound: AlSb3Ru
Source: Alexandria
Functional: PBE-GGA
Structure: optimized geometry

a b c (Å): 5.1447 5.1447 5.1447
angles (deg): 90.00 90.00 90.00
Element x y z (fractional)
Al 0.0000 0.0000 0.0000
Sb 0.0000 0.5000 0.5000
Sb 0.5000 0.0000 0.5000
Sb 0.5000 0.5000 0.0000
Ru 0.5000 0.5000 0.5000


The winner here is version two, beating the second structure by 0.663 eV/atom.